A geometry-optimized Cs3GeS structure, computed with PBE.

a b c (Å): 6.734 6.734 6.734
angles (deg): 90.00 90.00 90.00
Fractional coordinates of all 5 atoms:
1 Cs 0.000 0.000 0.500
2 Cs 0.000 0.500 0.000
3 Cs 0.500 0.000 0.000
4 Ge 0.500 0.500 0.500
5 S 0.000 0.000 0.000

Values from the calculation:
Uncorrected formation energy (meV/atom): -246.3
Offset from the most stable computed form (meV/atom): 0